MgNF3, relaxed, DFT GGA-PBE; E_form (uncorrected) = -1024 meV/atom; relative energy among the computed polymorphs = 553 meV/atom; symmetry = No. 221; calculated density = 2.560 Mg/m³
1.0
-3.0268 2.4302 -0.7541
-2.2772 -3.1100 -0.8822
-1.1352 -0.2410 3.7801
N F Mg
1 3 1
Cartesian
-3.2196 -0.4604 1.0719 N
-1.1386 -1.5550 -0.4411 F
-1.5134 1.2151 -0.3770 F
-0.5676 -0.1205 1.8901 F
0.0000 0.0000 0.0000 Mg


Na2HoNpSe4, relaxed, DFT GGA-PBE; E_form (uncorrected) = -1440 meV/atom; symmetry = No. 10; calculated density = 6.027 Mg/m³
1.0
-2.1348 1.5293 3.2337
-6.0127 0.1147 -4.0236
0.5004 -6.5314 3.4191
Se Na Ho Np
4 2 1 1
Cartesian
-5.2075 -4.1764 1.2203 Se
-4.3263 -1.4193 -2.1849 Se
-2.4396 -0.7111 1.4089 Se
-1.1860 -4.9975 1.5804 Se
-2.7561 -3.2084 -0.3022 Na
-0.8172 -2.5011 3.3264 Na
-4.0737 0.8220 -0.3949 Ho
0.0000 0.0000 0.0000 Np


KEr4Se6, relaxed, DFT GGA-PBE; E_form (uncorrected) = -1761 meV/atom; symmetry = No. 63; calculated density = 6.556 Mg/m³
1.0
4.0933 0.0000 0.0000
-2.0467 6.7848 0.0000
0.0000 0.0000 21.5589
Se Er K
12 8 2
Cartesian
0.0000 0.5236 3.3130 Se
0.0000 0.5236 7.4664 Se
2.0467 3.6834 9.0488 Se
2.0467 0.0000 0.0000 Se
2.0467 3.6834 1.7307 Se
0.0000 3.1014 19.8282 Se
2.0467 0.0000 10.7795 Se
0.0000 4.5924 5.3897 Se
2.0467 6.2612 14.0925 Se
2.0467 2.1924 16.1692 Se
2.0467 6.2612 18.2459 Se
0.0000 3.1014 12.5102 Se
0.0000 1.7999 9.8990 Er
2.0467 1.3134 13.6421 Er
2.0467 4.9849 20.6785 Er
0.0000 5.4715 2.8627 Er
2.0467 1.3134 18.6963 Er
0.0000 1.7999 0.8804 Er
2.0467 4.9849 11.6599 Er
0.0000 5.4715 7.9168 Er
2.0467 2.1060 5.3897 K
0.0000 4.6789 16.1692 K


Q: What is the E_form (uncorrected) in the second record?
A: -1440 meV/atom


What did the third record say?
KEr4Se6, relaxed, DFT GGA-PBE; E_form (uncorrected) = -1761 meV/atom; symmetry = No. 63; calculated density = 6.556 Mg/m³
1.0
4.0933 0.0000 0.0000
-2.0467 6.7848 0.0000
0.0000 0.0000 21.5589
Se Er K
12 8 2
Cartesian
0.0000 0.5236 3.3130 Se
0.0000 0.5236 7.4664 Se
2.0467 3.6834 9.0488 Se
2.0467 0.0000 0.0000 Se
2.0467 3.6834 1.7307 Se
0.0000 3.1014 19.8282 Se
2.0467 0.0000 10.7795 Se
0.0000 4.5924 5.3897 Se
2.0467 6.2612 14.0925 Se
2.0467 2.1924 16.1692 Se
2.0467 6.2612 18.2459 Se
0.0000 3.1014 12.5102 Se
0.0000 1.7999 9.8990 Er
2.0467 1.3134 13.6421 Er
2.0467 4.9849 20.6785 Er
0.0000 5.4715 2.8627 Er
2.0467 1.3134 18.6963 Er
0.0000 1.7999 0.8804 Er
2.0467 4.9849 11.6599 Er
0.0000 5.4715 7.9168 Er
2.0467 2.1060 5.3897 K
0.0000 4.6789 16.1692 K